(1)
First-principles (PBE-GGA) data for CrGa2RuC after structural relaxation, as listed in Alexandria.

Cell: 4.304 4.304 3.886 Å, 90.00 90.00 90.00°
Space group P4/mmm (No. 123)
Asymmetric unit:
Cr (0.000, 0.000, 0.000)
Ga (0.000, 0.500, 0.500)
Ru (0.500, 0.500, 0.000)
C (0.500, 0.500, 0.500)

## Properties
Energy relative to the elements, eV per atom: 0.645
Raw total energy, eV per atom: -6.19
Density, g/cm³: 7.0

(2)
First-principles (PBE-GGA) data for Sc2CrGaC after structural relaxation, as listed in Alexandria.

Cell: 4.506 4.506 3.890 Å, 90.00 90.00 90.00°
Space group P4/mmm (No. 123)
Asymmetric unit:
Sc (0.000, 0.500, 0.000)
Cr (0.000, 0.000, 0.500)
Ga (0.500, 0.500, 0.500)
C (0.000, 0.000, 0.000)

## Properties
Energy relative to the elements, eV per atom: -0.452
Raw total energy, eV per atom: -7.36
Density, g/cm³: 4.7

(3)
First-principles (PBE-GGA) data for CrGaCSe2 after structural relaxation, as listed in Alexandria.

Cell: 4.912 4.912 5.002 Å, 90.00 90.00 90.00°
Space group P4/mmm (No. 123)
Asymmetric unit:
Cr (0.000, 0.000, 0.000)
Ga (0.000, 0.000, 0.500)
C (0.500, 0.500, 0.000)
Se (0.000, 0.500, 0.500)

## Properties
Raw total energy, eV per atom: -3.87
Energy relative to the elements, uncorrected, kJ per mole of atoms: 183.2
Density, g/cm³: 4.0

(4)
First-principles (PBE-GGA) data for CrGaTc2C after structural relaxation, as listed in Alexandria.

Cell: 4.082 4.082 3.908 Å, 90.00 90.00 90.00°
Space group P4/mmm (No. 123)
Asymmetric unit:
Cr (0.000, 0.000, 0.000)
Ga (0.500, 0.500, 0.000)
Tc (0.000, 0.500, 0.500)
C (0.000, 0.000, 0.500)

## Properties
Energy relative to the elements, eV per atom: 0.042
Raw total energy, eV per atom: -8.48
Density, g/cm³: 8.4

(5)
First-principles (PBE-GGA) data for Ti2CrGaC after structural relaxation, as listed in Alexandria.

Cell: 4.216 4.216 3.774 Å, 90.00 90.00 90.00°
Space group P4/mmm (No. 123)
Asymmetric unit:
Ti (0.000, 0.500, 0.000)
Cr (0.000, 0.000, 0.500)
Ga (0.500, 0.500, 0.500)
C (0.000, 0.000, 0.000)

## Properties
Energy relative to the elements, eV per atom: -0.437
Raw total energy, eV per atom: -7.97
Density, g/cm³: 5.7

(6)
First-principles (PBE-GGA) data for V2CrGaC after structural relaxation, as listed in Alexandria.

Cell: 4.008 4.008 3.804 Å, 90.00 90.00 90.00°
Space group P4/mmm (No. 123)
Asymmetric unit:
V (0.000, 0.500, 0.000)
Cr (0.000, 0.000, 0.500)
Ga (0.500, 0.500, 0.500)
C (0.000, 0.000, 0.000)

## Properties
Energy relative to the elements, eV per atom: -0.169
Raw total energy, eV per atom: -8.19
Density, g/cm³: 6.4

(7)
First-principles (PBE-GGA) data for Y2CrGaC after structural relaxation, as listed in Alexandria.

Cell: 4.953 4.953 3.900 Å, 90.00 90.00 90.00°
Space group P4/mmm (No. 123)
Asymmetric unit:
Y (0.000, 0.500, 0.000)
Cr (0.000, 0.000, 0.500)
Ga (0.500, 0.500, 0.500)
C (0.000, 0.000, 0.000)

## Properties
Energy relative to the elements, eV per atom: -0.339
Raw total energy, eV per atom: -7.30
Density, g/cm³: 5.4

(8)
First-principles (PBE-GGA) data for GdCrC after structural relaxation, as listed in Alexandria.

Cell: 3.4801 3.4801 4.2629 Å, 90.00 90.00 120.00°
Space group P-6m2 (No. 187)
Asymmetric unit:
Gd (0.0000, 0.0000, 0.0000)
Cr (0.6667, 0.3333, 0.5000)
C (0.3333, 0.6667, 0.5000)

## Properties
Energy relative to the elements, eV per atom: 0.190
Raw total energy, eV per atom: -10.79
Density, g/cm³: 8.2

Copy entry 7 word for word.
First-principles (PBE-GGA) data for Y2CrGaC after structural relaxation, as listed in Alexandria.

Cell: 4.953 4.953 3.900 Å, 90.00 90.00 90.00°
Space group P4/mmm (No. 123)
Asymmetric unit:
Y (0.000, 0.500, 0.000)
Cr (0.000, 0.000, 0.500)
Ga (0.500, 0.500, 0.500)
C (0.000, 0.000, 0.000)

## Properties
Energy relative to the elements, eV per atom: -0.339
Raw total energy, eV per atom: -7.30
Density, g/cm³: 5.4

Q: Which of these has the lowest density?
A: CrGaCSe2

What did the eighth record say?
First-principles (PBE-GGA) data for GdCrC after structural relaxation, as listed in Alexandria.

Cell: 3.4801 3.4801 4.2629 Å, 90.00 90.00 120.00°
Space group P-6m2 (No. 187)
Asymmetric unit:
Gd (0.0000, 0.0000, 0.0000)
Cr (0.6667, 0.3333, 0.5000)
C (0.3333, 0.6667, 0.5000)

## Properties
Energy relative to the elements, eV per atom: 0.190
Raw total energy, eV per atom: -10.79
Density, g/cm³: 8.2

Copy entry 3 word for word.
First-principles (PBE-GGA) data for CrGaCSe2 after structural relaxation, as listed in Alexandria.

Cell: 4.912 4.912 5.002 Å, 90.00 90.00 90.00°
Space group P4/mmm (No. 123)
Asymmetric unit:
Cr (0.000, 0.000, 0.000)
Ga (0.000, 0.000, 0.500)
C (0.500, 0.500, 0.000)
Se (0.000, 0.500, 0.500)

## Properties
Raw total energy, eV per atom: -3.87
Energy relative to the elements, uncorrected, kJ per mole of atoms: 183.2
Density, g/cm³: 4.0